#1
Computed, not measured: crystalline Ru2C at its relaxed geometry at the PBE level of DFT.

```
3
Lattice="-3.132 2.555 2.825 -4.790 -0.403 1.101 4.395 -2.184 -0.479" Properties=species:S:1:pos:R:3 pbc="T T T"
C 0.000 0.000 0.000
Ru -2.841 0.772 1.408
Ru -5.081 1.381 2.518
```

Calculated values
**Space-group type**: No. 139
**Total magnetic moment**: 0.000 μB per atom



#2
Computed, not measured: crystalline Ru2C at its relaxed geometry at the PBE level of DFT.

```
3
Lattice="-1.271 -1.824 2.241 2.773 1.422 0.506 -2.041 3.406 1.614" Properties=species:S:1:pos:R:3 pbc="T T T"
C 0.000 0.000 0.000
Ru -1.502 1.893 2.911
Ru 0.963 1.111 1.450
```

Calculated values
**Space-group type**: No. 164
**Total magnetic moment**: 0.000 μB per atom



Which structure is the most stable? The one labeled #2.



#1
Computed, not measured: crystalline Ru2C at its relaxed geometry at the PBE level of DFT.

```
6
Lattice="4.977 0.000 0.000 0.000 4.977 0.000 0.000 0.000 2.880" Properties=species:S:1:pos:R:3 pbc="T T T"
Ru 1.435 3.541 1.440
Ru 3.541 1.435 1.440
C 0.000 0.000 1.440
Ru 3.924 3.924 0.000
Ru 1.053 1.053 0.000
C 2.488 2.488 0.000
```

Calculated values
**Space-group type**: No. 136
**Total magnetic moment**: 0.000 μB per atom



#2
Computed, not measured: crystalline Ru2C at its relaxed geometry at the PBE level of DFT.

```
6
Lattice="1.639 -2.839 0.000 1.639 2.839 0.000 0.000 0.000 8.156" Properties=species:S:1:pos:R:3 pbc="T T T"
Ru 0.000 0.000 4.078
Ru 1.639 0.946 6.117
Ru 1.639 -0.946 2.039
C 1.639 -0.946 6.117
C 1.639 0.946 2.039
Ru 0.000 0.000 0.000
```

Calculated values
**Space-group type**: No. 194
**Total magnetic moment**: 0.000 μB per atom



Which structure is the most stable? The one labeled #1.



#1
Computed, not measured: crystalline Ru2C at its relaxed geometry at the PBE level of DFT.

```
9
Lattice="-0.522 -2.769 0.126 1.764 -1.824 -1.231 8.238 -2.377 12.225" Properties=species:S:1:pos:R:3 pbc="T T T"
C 7.530 -4.523 9.538
Ru 5.637 -4.322 6.488
Ru 0.799 -0.797 0.790
Ru 8.682 -6.173 10.330
Ru 3.844 -2.648 4.632
Ru 2.249 -1.000 3.093
C 4.119 -1.189 6.113
Ru 7.232 -5.970 8.027
C 1.951 -2.447 1.582
```

Calculated values
**Space-group type**: No. 12
**Total magnetic moment**: 0.000 μB per atom



#2
Computed, not measured: crystalline Ru2C at its relaxed geometry at the PBE level of DFT.

```
6
Lattice="1.870 -3.239 0.000 1.870 3.239 0.000 0.000 0.000 5.817" Properties=species:S:1:pos:R:3 pbc="T T T"
Ru 0.000 0.000 0.000
Ru 0.000 0.000 2.909
Ru 1.870 -1.080 4.363
C 1.870 1.080 4.363
C 1.870 -1.080 1.454
Ru 1.870 1.080 1.454
```

Calculated values
**Space-group type**: No. 194
**Total magnetic moment**: 0.085 μB per atom



Which structure is the most stable? The one labeled #1.



#1
Computed, not measured: crystalline Ru2C at its relaxed geometry at the PBE level of DFT.

```
3
Lattice="3.689 0.000 0.000 1.844 3.194 0.000 1.844 1.065 3.012" Properties=species:S:1:pos:R:3 pbc="T T T"
Ru 5.533 3.194 2.259
C 0.000 0.000 0.000
Ru 1.844 1.065 0.753
```

Calculated values
**Space-group type**: No. 225
**Total magnetic moment**: 0.000 μB per atom



#2
Computed, not measured: crystalline Ru2C at its relaxed geometry at the PBE level of DFT.

```
6
Lattice="-4.587 3.391 4.521 3.193 -5.592 -3.393 2.699 -0.220 2.902" Properties=species:S:1:pos:R:3 pbc="T T T"
Ru -2.241 2.855 6.372
C -0.107 0.390 4.200
Ru 2.895 -3.076 1.146
C 1.412 -2.812 -0.169
Ru -1.590 0.655 2.885
Ru 3.546 -5.277 -2.340
```

Calculated values
**Space-group type**: No. 63
**Total magnetic moment**: 0.000 μB per atom



Which structure is the most stable? The one labeled #1.



#1
Computed, not measured: crystalline Ru2C at its relaxed geometry at the PBE level of DFT.

```
12
Lattice="-5.921 0.040 -0.458 3.355 -0.345 -4.889 -0.086 -7.455 0.466" Properties=species:S:1:pos:R:3 pbc="T T T"
C 0.189 -6.642 -3.010
Ru -1.395 -1.907 -0.823
Ru 1.790 -5.874 -3.822
C -2.841 -1.118 -1.871
Ru -4.442 -1.886 -1.058
C -2.861 -2.786 -1.766
Ru 0.000 0.000 0.000
Ru -2.716 -2.064 -3.575
Ru -1.258 -5.853 -4.058
C 0.208 -4.974 -3.114
Ru 0.063 -5.696 -1.306
Ru -0.043 -3.727 0.233
```

Calculated values
**Space-group type**: No. 194
**Total magnetic moment**: 0.000 μB per atom



#2
Computed, not measured: crystalline Ru2C at its relaxed geometry at the PBE level of DFT.

```
9
Lattice="-4.761 1.294 0.157 2.419 -1.021 4.180 1.308 4.765 0.407" Properties=species:S:1:pos:R:3 pbc="T T T"
Ru -1.334 1.591 0.152
C -1.714 2.905 1.701
Ru 2.576 2.955 3.043
C 0.000 0.000 0.000
Ru -1.218 1.321 2.933
Ru 1.151 0.790 1.545
Ru 0.184 3.717 1.810
Ru -2.119 4.468 0.412
C 0.680 2.133 3.042
```

Calculated values
**Space-group type**: No. 162
**Total magnetic moment**: 0.000 μB per atom



Which structure is the most stable? The one labeled #2.



#1
Computed, not measured: crystalline Ru2C at its relaxed geometry at the PBE level of DFT.

```
6
Lattice="3.825 0.000 0.000 0.000 3.825 0.000 0.000 0.000 4.843" Properties=species:S:1:pos:R:3 pbc="T T T"
Ru 0.000 1.913 2.804
Ru 1.913 0.000 2.039
C 0.000 1.913 0.866
Ru 0.000 0.000 0.000
Ru 1.913 1.913 0.000
C 1.913 0.000 3.977
```

Calculated values
**Space-group type**: No. 129
**Total magnetic moment**: 0.000 μB per atom



#2
Computed, not measured: crystalline Ru2C at its relaxed geometry at the PBE level of DFT.

```
6
Lattice="1.467 -3.938 -2.678 -0.912 -4.613 1.648 -3.380 -2.846 -2.304" Properties=species:S:1:pos:R:3 pbc="T T T"
Ru 0.381 -3.394 -1.756
C -1.412 -5.699 -1.667
C -2.119 -8.548 -2.500
Ru -0.353 -1.425 -0.417
Ru -2.043 -2.848 -1.569
Ru -0.809 -3.731 0.407
```

Calculated values
**Space-group type**: No. 227
**Total magnetic moment**: 0.447 μB per atom



#3
Computed, not measured: crystalline Ru2C at its relaxed geometry at the PBE level of DFT.

```
3
Lattice="-0.333 4.717 1.631 -1.198 3.009 3.812 1.633 3.387 3.299" Properties=species:S:1:pos:R:3 pbc="T T T"
Ru 0.025 2.715 2.136
C 0.000 0.000 0.000
Ru 0.077 8.398 6.606
```

Calculated values
**Space-group type**: No. 166
**Total magnetic moment**: 0.000 μB per atom



Which structure is the most stable? The one labeled #3.



#1
Computed, not measured: crystalline Ru2C at its relaxed geometry at the PBE level of DFT.

```
6
Lattice="1.442 -5.591 0.000 1.442 5.591 0.000 0.000 0.000 4.310" Properties=species:S:1:pos:R:3 pbc="T T T"
Ru 1.442 0.816 3.233
C 1.442 -3.382 3.233
Ru 1.442 -3.791 1.078
Ru 1.442 -0.816 1.078
Ru 1.442 3.791 3.233
C 1.442 3.382 1.078
```

Calculated values
**Space-group type**: No. 63
**Total magnetic moment**: 0.000 μB per atom



#2
Computed, not measured: crystalline Ru2C at its relaxed geometry at the PBE level of DFT.

```
12
Lattice="10.773 -0.001 0.000 9.325 5.394 0.000 -10.049 -2.696 2.793" Properties=species:S:1:pos:R:3 pbc="T T T"
Ru 0.034 1.455 1.397
Ru 3.463 -0.517 1.397
C 19.366 5.196 0.000
Ru 4.628 1.242 0.000
Ru 11.972 3.213 0.000
Ru 7.310 0.515 1.397
C 5.395 2.894 1.397
Ru 15.470 4.151 0.000
Ru 8.126 2.180 0.000
C 0.732 0.196 0.000
Ru 9.291 3.939 1.397
C 3.930 2.501 1.397
```

Calculated values
**Space-group type**: No. 141
**Total magnetic moment**: 0.000 μB per atom



Which structure is the most stable? The one labeled #1.



#1
Computed, not measured: crystalline Ru3C4 at its relaxed geometry at the PBE level of DFT.

```
7
Lattice="0.705 7.314 2.377 -2.928 5.823 4.142 2.221 -7.235 -1.539" Properties=species:S:1:pos:R:3 pbc="T T T"
C -0.366 2.162 1.073
C -1.010 5.969 2.962
Ru -0.701 4.141 2.055
C -1.857 10.975 5.446
Ru 0.000 0.000 0.000
C -1.213 7.168 3.557
Ru -1.522 8.996 4.464
```

Calculated values
**Space-group type**: No. 139
**Total magnetic moment**: 0.208 μB per atom



#2
Computed, not measured: crystalline Ru3C4 at its relaxed geometry at the PBE level of DFT.

```
7
Lattice="2.873 -4.976 0.000 2.873 4.976 0.000 0.000 0.000 2.652" Properties=species:S:1:pos:R:3 pbc="T T T"
Ru 1.436 -2.488 0.000
C 2.873 -1.659 1.326
C 0.000 0.000 1.982
C 2.873 1.659 1.326
C 0.000 0.000 0.671
Ru 2.873 0.000 0.000
Ru 1.436 2.488 0.000
```

Calculated values
**Space-group type**: No. 191
**Total magnetic moment**: 0.124 μB per atom



#3
Computed, not measured: crystalline Ru3C4 at its relaxed geometry at the PBE level of DFT.

```
7
Lattice="-2.959 1.086 2.802 -2.943 -0.249 -3.010 -0.610 -4.067 0.933" Properties=species:S:1:pos:R:3 pbc="T T T"
Ru -0.305 -2.034 0.466
Ru -1.479 0.543 1.401
C -2.951 0.418 -0.104
C -1.776 -2.158 -1.039
C 0.000 0.000 0.000
C -1.784 -1.491 1.867
Ru -1.471 -0.125 -1.505
```

Calculated values
**Space-group type**: No. 221
**Total magnetic moment**: 0.000 μB per atom



Which structure is the most stable? The one labeled #2.



#1
Computed, not measured: crystalline Ru3C2 at its relaxed geometry at the PBE level of DFT.

```
5
Lattice="-3.507 3.005 4.749 -5.738 2.060 2.592 -4.593 -0.051 4.773" Properties=species:S:1:pos:R:3 pbc="T T T"
Ru 0.000 0.000 0.000
Ru -3.170 1.149 2.775
C -5.600 2.029 4.903
Ru -10.668 3.865 9.339
C -8.238 2.985 7.211
```

Calculated values
**Space-group type**: No. 166
**Total magnetic moment**: 0.000 μB per atom



#2
Computed, not measured: crystalline Ru3C2 at its relaxed geometry at the PBE level of DFT.

```
10
Lattice="7.358 -2.000 1.219 4.237 0.419 4.646 2.008 -4.789 -0.601" Properties=species:S:1:pos:R:3 pbc="T T T"
Ru 10.162 -4.863 4.051
C 8.757 -3.355 3.545
Ru 9.954 -2.291 4.898
Ru 3.533 -4.327 0.662
Ru 4.991 -1.221 2.528
Ru 1.695 -2.212 0.400
C 7.098 -4.210 0.862
C 4.725 -3.273 2.027
C 6.941 -1.232 3.298
Ru 6.761 -3.271 2.735
```

Calculated values
**Space-group type**: No. 43
**Total magnetic moment**: 0.000 μB per atom



#3
Computed, not measured: crystalline Ru3C2 at its relaxed geometry at the PBE level of DFT.

```
5
Lattice="1.619 -2.804 0.000 1.619 2.804 0.000 0.000 0.000 6.234" Properties=species:S:1:pos:R:3 pbc="T T T"
Ru 1.619 -0.935 4.199
Ru 0.000 0.000 0.000
Ru 1.619 0.935 2.035
C 1.619 0.935 4.876
C 1.619 -0.935 1.358
```

Calculated values
**Space-group type**: No. 164
**Total magnetic moment**: 0.000 μB per atom



Which structure is the most stable? The one labeled #2.



#1
Computed, not measured: crystalline RuC4 at its relaxed geometry at the PBE level of DFT.

```
5
Lattice="-0.523 2.546 3.133 -3.618 -0.904 -1.632 1.789 -3.414 1.310" Properties=species:S:1:pos:R:3 pbc="T T T"
C -0.261 1.273 1.566
C -1.176 -0.886 1.405
Ru 0.000 0.000 0.000
C 0.894 -1.707 0.655
C -1.809 -0.452 -0.816
```

Calculated values
**Space-group type**: No. 229
**Total magnetic moment**: 0.000 μB per atom



#2
Computed, not measured: crystalline RuC4 at its relaxed geometry at the PBE level of DFT.

```
5
Lattice="3.914 -0.608 1.983 -1.421 4.196 -0.046 -2.982 -2.345 2.287" Properties=species:S:1:pos:R:3 pbc="T T T"
C 0.582 -1.843 2.665
C 0.351 -1.110 1.605
Ru 0.000 0.000 0.000
C -1.655 0.695 0.842
C -2.748 1.155 1.399
```

Calculated values
**Space-group type**: No. 139
**Total magnetic moment**: 0.218 μB per atom



#3
Computed, not measured: crystalline RuC4 at its relaxed geometry at the PBE level of DFT.

```
5
Lattice="3.956 0.000 0.000 0.000 3.956 0.000 0.000 0.000 3.956" Properties=species:S:1:pos:R:3 pbc="T T T"
C 0.000 0.000 0.000
C 1.978 1.978 0.000
C 1.978 0.000 1.978
Ru 1.978 1.978 1.978
C 0.000 1.978 1.978
```

Calculated values
**Space-group type**: No. 221
**Total magnetic moment**: 0.265 μB per atom



Which structure is the most stable? The one labeled #2.



#1
Computed, not measured: crystalline RuC4 at its relaxed geometry at the PBE level of DFT.

```
5
Lattice="-1.833 1.833 2.794 1.833 -1.833 2.794 1.833 1.833 -2.794" Properties=species:S:1:pos:R:3 pbc="T T T"
Ru 0.000 0.000 0.000
C 1.833 0.000 1.397
C 0.000 0.000 3.541
C 0.000 0.000 2.048
C 0.000 1.833 1.397
```

Calculated values
**Space-group type**: No. 139
**Total magnetic moment**: 0.000 μB per atom



#2
Computed, not measured: crystalline RuC4 at its relaxed geometry at the PBE level of DFT.

```
5
Lattice="-2.238 1.057 1.111 0.684 -2.574 0.514 3.314 1.860 4.904" Properties=species:S:1:pos:R:3 pbc="T T T"
C 1.322 1.298 4.740
C 0.438 -0.956 1.790
C 0.536 0.857 3.576
Ru 0.000 0.000 0.000
C 1.224 -0.514 2.954
```

Calculated values
**Space-group type**: No. 164
**Total magnetic moment**: 0.000 μB per atom



Which structure is the most stable? The one labeled #2.